Compound: Pr4TlCd3
Source: Alexandria
Functional: GGA-PBE
Structure: relaxed

The structure in POSCAR format:
```
Pr4TlCd3
1.0
5.281 0.000 1.559
2.411 4.699 1.559
0.047 0.029 9.567
Pr Tl Cd
4 1 3
direct
0.874 0.874 0.377
0.376 0.376 0.873
0.126 0.126 0.623
0.624 0.624 0.127
0.000 0.000 0.000
0.249 0.249 0.254
0.751 0.751 0.746
0.500 0.500 0.500
```

Properties
Symmetry = No. 166
Final energy = -3.363 eV per atom